Model a:
# PBE SiSeI2N, relaxed
data_SiSeI2N
_chemical_formula_sum 'Si1 Se1 I2 N1'
_cell_length_a 6.053
_cell_length_b 6.053
_cell_length_c 3.246
_cell_angle_alpha 90.00
_cell_angle_beta 90.00
_cell_angle_gamma 90.00
_space_group_name_H-M_alt 'P 1'
_space_group_IT_number 1
loop_
_space_group_symop_operation_xyz
'x,y,z'
loop_
_atom_site_label
_atom_site_type_symbol
_atom_site_fract_x
_atom_site_fract_y
_atom_site_fract_z
I1 I 0.500 0.000 0.000
I2 I 0.000 0.500 0.000
N1 N 0.000 0.000 0.500
Se1 Se 0.500 0.500 0.500
Si1 Si 0.000 0.000 0.000
# Symmetry   P4/mmm (123)
# Density of states at the Fermi level   5.6 states/eV per cell


Model b:
# PBE SiSeI2N, relaxed
data_SiSeI2N
_chemical_formula_sum 'Si1 Se1 I2 N1'
_cell_length_a 5.993
_cell_length_b 5.993
_cell_length_c 3.720
_cell_angle_alpha 90.00
_cell_angle_beta 90.00
_cell_angle_gamma 90.00
_space_group_name_H-M_alt 'P 1'
_space_group_IT_number 1
loop_
_space_group_symop_operation_xyz
'x,y,z'
loop_
_atom_site_label
_atom_site_type_symbol
_atom_site_fract_x
_atom_site_fract_y
_atom_site_fract_z
N1 N 0.000 0.000 0.500
I1 I 0.000 0.500 0.000
I2 I 0.500 0.000 0.000
Si1 Si 0.500 0.500 0.500
Se1 Se 0.000 0.000 0.000
# Symmetry   P4/mmm (123)
# Density of states at the Fermi level   2.7 states/eV per cell


Q: Which of them is the least stable? A: model b.


Model a:
# PBE SnSeIN2, relaxed
data_SnSeIN2
_chemical_formula_sum 'Sn1 Se1 I1 N2'
_cell_length_a 4.163
_cell_length_b 4.163
_cell_length_c 5.666
_cell_angle_alpha 90.00
_cell_angle_beta 90.00
_cell_angle_gamma 90.00
_space_group_name_H-M_alt 'P 1'
_space_group_IT_number 1
loop_
_space_group_symop_operation_xyz
'x,y,z'
loop_
_atom_site_label
_atom_site_type_symbol
_atom_site_fract_x
_atom_site_fract_y
_atom_site_fract_z
N1 N 0.000 0.500 0.000
N2 N 0.500 0.000 0.000
Sn1 Sn 0.500 0.500 0.500
Se1 Se 0.000 0.000 0.500
I1 I 0.000 0.000 0.000
# Symmetry   P4/mmm (123)
# Density of states at the Fermi level   2.5 states/eV per cell


Model b:
# PBE SnSeIN2, relaxed
data_SnSeIN2
_chemical_formula_sum 'Sn1 Se1 I1 N2'
_cell_length_a 4.064
_cell_length_b 4.064
_cell_length_c 8.128
_cell_angle_alpha 90.00
_cell_angle_beta 90.00
_cell_angle_gamma 90.00
_space_group_name_H-M_alt 'P 1'
_space_group_IT_number 1
loop_
_space_group_symop_operation_xyz
'x,y,z'
loop_
_atom_site_label
_atom_site_type_symbol
_atom_site_fract_x
_atom_site_fract_y
_atom_site_fract_z
Sn1 Sn 0.000 0.000 0.000
Se1 Se 0.500 0.500 0.500
I1 I 0.000 0.000 0.500
N1 N 0.500 0.000 0.000
N2 N 0.000 0.500 0.000
# Symmetry   P4/mmm (123)
# Density of states at the Fermi level   6.2 states/eV per cell


Q: Which of them is the least stable? A: model a.


Model a:
# PBE SnSeIN2, relaxed
data_SnSeIN2
_chemical_formula_sum 'Sn1 Se1 I1 N2'
_cell_length_a 4.233
_cell_length_b 4.233
_cell_length_c 5.969
_cell_angle_alpha 90.00
_cell_angle_beta 90.00
_cell_angle_gamma 90.00
_space_group_name_H-M_alt 'P 1'
_space_group_IT_number 1
loop_
_space_group_symop_operation_xyz
'x,y,z'
loop_
_atom_site_label
_atom_site_type_symbol
_atom_site_fract_x
_atom_site_fract_y
_atom_site_fract_z
I1 I 0.500 0.500 0.500
Se1 Se 0.000 0.000 0.500
N1 N 0.500 0.000 0.000
N2 N 0.000 0.500 0.000
Sn1 Sn 0.000 0.000 0.000
# Symmetry   P4/mmm (123)
# Density of states at the Fermi level   2.5 states/eV per cell


Model b:
# PBE SnSeIN2, relaxed
data_SnSeIN2
_chemical_formula_sum 'Sn1 Se1 I1 N2'
_cell_length_a 4.185
_cell_length_b 4.185
_cell_length_c 6.751
_cell_angle_alpha 90.00
_cell_angle_beta 90.00
_cell_angle_gamma 90.00
_space_group_name_H-M_alt 'P 1'
_space_group_IT_number 1
loop_
_space_group_symop_operation_xyz
'x,y,z'
loop_
_atom_site_label
_atom_site_type_symbol
_atom_site_fract_x
_atom_site_fract_y
_atom_site_fract_z
N1 N 0.500 0.000 0.000
N2 N 0.000 0.500 0.000
Sn1 Sn 0.500 0.500 0.500
Se1 Se 0.000 0.000 0.000
I1 I 0.000 0.000 0.500
# Symmetry   P4/mmm (123)
# Density of states at the Fermi level   3.5 states/eV per cell


Q: Which of them is the least stable? A: model b.


Model a:
# PBE SrSe2IN, relaxed
data_SrSe2IN
_chemical_formula_sum 'Sr1 Se2 I1 N1'
_cell_length_a 5.581
_cell_length_b 5.581
_cell_length_c 4.073
_cell_angle_alpha 90.00
_cell_angle_beta 90.00
_cell_angle_gamma 90.00
_space_group_name_H-M_alt 'P 1'
_space_group_IT_number 1
loop_
_space_group_symop_operation_xyz
'x,y,z'
loop_
_atom_site_label
_atom_site_type_symbol
_atom_site_fract_x
_atom_site_fract_y
_atom_site_fract_z
Se1 Se 0.000 0.500 0.000
Se2 Se 0.500 0.000 0.000
I1 I 0.000 0.000 0.000
Sr1 Sr 0.500 0.500 0.500
N1 N 0.000 0.000 0.500
# Symmetry   P4/mmm (123)
# Density of states at the Fermi level   3.8 states/eV per cell


Model b:
# PBE SrSe2IN, relaxed
data_SrSe2IN
_chemical_formula_sum 'Sr1 Se2 I1 N1'
_cell_length_a 6.064
_cell_length_b 6.064
_cell_length_c 4.589
_cell_angle_alpha 90.00
_cell_angle_beta 90.00
_cell_angle_gamma 90.00
_space_group_name_H-M_alt 'P 1'
_space_group_IT_number 1
loop_
_space_group_symop_operation_xyz
'x,y,z'
loop_
_atom_site_label
_atom_site_type_symbol
_atom_site_fract_x
_atom_site_fract_y
_atom_site_fract_z
Se1 Se 0.500 0.000 0.000
Se2 Se 0.000 0.500 0.000
Sr1 Sr 0.000 0.000 0.000
I1 I 0.500 0.500 0.500
N1 N 0.000 0.000 0.500
# Symmetry   P4/mmm (123)
# Density of states at the Fermi level   11.0 states/eV per cell


Q: Which of them is the least stable? A: model b.


Model a:
# PBE SrSeI2N, relaxed
data_SrSeI2N
_chemical_formula_sum 'Sr1 Se1 I2 N1'
_cell_length_a 6.314
_cell_length_b 6.314
_cell_length_c 3.846
_cell_angle_alpha 90.00
_cell_angle_beta 90.00
_cell_angle_gamma 90.00
_space_group_name_H-M_alt 'P 1'
_space_group_IT_number 1
loop_
_space_group_symop_operation_xyz
'x,y,z'
loop_
_atom_site_label
_atom_site_type_symbol
_atom_site_fract_x
_atom_site_fract_y
_atom_site_fract_z
I1 I 0.500 0.000 0.000
I2 I 0.000 0.500 0.000
N1 N 0.000 0.000 0.500
Se1 Se 0.000 0.000 0.000
Sr1 Sr 0.500 0.500 0.500
# Symmetry   P4/mmm (123)
# Density of states at the Fermi level   2.3 states/eV per cell


Model b:
# PBE SrSeI2N, relaxed
data_SrSeI2N
_chemical_formula_sum 'Sr1 Se1 I2 N1'
_cell_length_a 6.380
_cell_length_b 6.380
_cell_length_c 4.439
_cell_angle_alpha 90.00
_cell_angle_beta 90.00
_cell_angle_gamma 90.00
_space_group_name_H-M_alt 'P 1'
_space_group_IT_number 1
loop_
_space_group_symop_operation_xyz
'x,y,z'
loop_
_atom_site_label
_atom_site_type_symbol
_atom_site_fract_x
_atom_site_fract_y
_atom_site_fract_z
I1 I 0.000 0.500 0.000
I2 I 0.500 0.000 0.000
Sr1 Sr 0.000 0.000 0.000
N1 N 0.000 0.000 0.500
Se1 Se 0.500 0.500 0.500
# Symmetry   P4/mmm (123)
# Density of states at the Fermi level   12.9 states/eV per cell


Q: Which of them is the least stable? A: model b.


Model a:
# PBE TaSeIN2, relaxed
data_TaSeIN2
_chemical_formula_sum 'Ta1 Se1 I1 N2'
_cell_length_a 4.071
_cell_length_b 4.071
_cell_length_c 5.736
_cell_angle_alpha 90.00
_cell_angle_beta 90.00
_cell_angle_gamma 90.00
_space_group_name_H-M_alt 'P 1'
_space_group_IT_number 1
loop_
_space_group_symop_operation_xyz
'x,y,z'
loop_
_atom_site_label
_atom_site_type_symbol
_atom_site_fract_x
_atom_site_fract_y
_atom_site_fract_z
Se1 Se 0.000 0.000 0.500
N1 N 0.500 0.000 0.000
N2 N 0.000 0.500 0.000
Ta1 Ta 0.000 0.000 0.000
I1 I 0.500 0.500 0.500
# Symmetry   P4/mmm (123)
# Density of states at the Fermi level   1.6 states/eV per cell


Model b:
# PBE TaSeIN2, relaxed
data_TaSeIN2
_chemical_formula_sum 'Ta1 Se1 I1 N2'
_cell_length_a 4.033
_cell_length_b 4.033
_cell_length_c 5.404
_cell_angle_alpha 90.00
_cell_angle_beta 90.00
_cell_angle_gamma 90.00
_space_group_name_H-M_alt 'P 1'
_space_group_IT_number 1
loop_
_space_group_symop_operation_xyz
'x,y,z'
loop_
_atom_site_label
_atom_site_type_symbol
_atom_site_fract_x
_atom_site_fract_y
_atom_site_fract_z
N1 N 0.000 0.500 0.000
N2 N 0.500 0.000 0.000
Ta1 Ta 0.500 0.500 0.500
Se1 Se 0.000 0.000 0.500
I1 I 0.000 0.000 0.000
# Symmetry   P4/mmm (123)
# Density of states at the Fermi level   4.1 states/eV per cell


Q: Which of them is the least stable? A: model b.